Record 1
Here is Ba3Sb4Pd2 after structural relaxation from Alexandria. Energies are from PBE.

Computed properties:
**Electronic total energy**: -40.12 eV per cell
**Spin magnetization**: 0.00 μB/cell
**Relative energy among the computed polymorphs**: 43 meV/atom
**Formation energy from raw total energies**: -0.831 eV/atom

Unit cell a=4.862 b=6.851 c=9.610 alpha=108.36 beta=90.00 gamma=110.78
Element x y z (fractional)
Sb 0.719 0.439 0.077
Sb 0.875 0.750 0.598
Sb 0.125 0.250 0.402
Sb 0.281 0.561 0.923
Ba 0.000 0.000 0.000
Ba 0.614 0.227 0.679
Ba 0.386 0.773 0.321
Pd 0.686 0.372 0.340
Pd 0.314 0.628 0.660

=====

Record 2
Here is NaCd6Ge2 after structural relaxation from Alexandria. Energies are from PBE.

Computed properties:
**Electronic total energy**: -16.06 eV per cell
**Spin magnetization**: 0.00 μB/cell

Unit cell a=4.481 b=4.481 c=10.357 alpha=90.00 beta=90.00 gamma=90.00
Element x y z (fractional)
Cd 0.000 0.500 0.283
Cd 0.000 0.500 0.717
Cd 0.000 0.000 0.500
Cd 0.500 0.000 0.283
Cd 0.500 0.000 0.717
Cd 0.500 0.500 0.500
Ge 0.500 0.500 0.880
Ge 0.500 0.500 0.120
Na 0.000 0.000 0.000

=====

Record 3
Here is CsAcUSe4 after structural relaxation from Alexandria. Energies are from PBE.

Computed properties:
**Electronic total energy**: -80.72 eV per cell
**Spin magnetization**: 4.00 μB/cell
**Formation energy from raw total energies**: -1.453 eV/atom

Unit cell a=8.806 b=9.231 c=9.681 alpha=121.63 beta=90.00 gamma=118.49
Each line ends with the local moment (μB).
Element x y z (fractional)
Se 0.738 0.476 0.679  -0.05
Se 0.311 0.065 0.282  -0.03
Se 0.262 0.524 0.703  -0.05
Se 0.262 0.524 0.321  -0.05
Se 0.738 0.476 0.297  -0.05
Se 0.689 0.935 0.718  -0.03
Se 0.246 0.935 0.718  -0.03
Se 0.754 0.065 0.282  -0.03
U 0.000 0.500 0.500  2.12
U 0.500 0.500 0.500  2.12
Cs 0.857 0.715 0.107  0.00
Cs 0.143 0.285 0.893  0.00
Ac 0.500 0.000 0.500  0.00
Ac 0.500 0.000 0.000  0.00

=====

Record 4
Here is HgSe after structural relaxation from Alexandria. Energies are from PBE.

Computed properties:
**Electronic total energy**: -64.17 eV per cell
**Spin magnetization**: 0.00 μB/cell
**Formation energy from raw total energies**: -0.112 eV/atom

Unit cell a=12.057 b=13.080 c=8.299 alpha=90.00 beta=90.00 gamma=90.00
Element x y z (fractional)
Se 0.750 0.896 0.750
Se 0.750 0.104 0.250
Se 0.250 0.104 0.750
Se 0.000 0.646 0.500
Se 0.500 0.146 0.500
Se 0.500 0.354 0.000
Se 0.250 0.604 0.250
Se 0.250 0.396 0.750
Se 0.500 0.646 0.000
Se 0.000 0.854 0.000
Se 0.750 0.604 0.750
Se 0.000 0.354 0.500
Se 0.750 0.396 0.250
Se 0.250 0.896 0.250
Se 0.000 0.146 0.000
Se 0.500 0.854 0.500
Hg 0.564 0.250 0.250
Hg 0.186 0.000 0.000
Hg 0.814 0.000 0.000
Hg 0.436 0.750 0.250
Hg 0.186 0.500 0.500
Hg 0.686 0.500 0.000
Hg 0.064 0.250 0.750
Hg 0.814 0.500 0.500
Hg 0.436 0.250 0.750
Hg 0.936 0.250 0.250
Hg 0.314 0.000 0.500
Hg 0.314 0.500 0.000
Hg 0.064 0.750 0.250
Hg 0.686 0.000 0.500
Hg 0.936 0.750 0.750
Hg 0.564 0.750 0.750

=====

Record 5
Here is ErCoBi after structural relaxation from Alexandria. Energies are from PBE.

Computed properties:
**Electronic total energy**: -32.52 eV per cell
**Spin magnetization**: 0.79 μB/cell

Unit cell a=3.838 b=5.675 c=6.979 alpha=93.18 beta=89.57 gamma=70.12
Each line ends with the local moment (μB).
Element x y z (fractional)
Bi 0.629 0.733 0.361  -0.02
Bi 0.371 0.267 0.639  -0.02
Co 0.063 0.871 0.120  0.52
Co 0.937 0.129 0.880  0.52
Er 0.642 0.720 0.857  -0.09
Er 0.358 0.280 0.143  -0.09

=====

Record 6
Here is MnNbVGaCu after structural relaxation from Alexandria. Energies are from PBE.

Computed properties:
**Electronic total energy**: -35.29 eV per cell
**Spin magnetization**: 0.68 μB/cell
**Relative energy among the computed polymorphs**: 73 meV/atom

Unit cell a=2.726 b=4.432 c=6.467 alpha=70.07 beta=79.17 gamma=89.79
Each line ends with the local moment (μB).
Element x y z (fractional)
Mn 0.778 0.562 0.738  1.21
Nb 0.056 0.979 0.903  -0.14
V 0.334 0.386 0.091  -0.39
Cu 0.493 0.769 0.324  0.01
Ga 0.706 0.186 0.491  0.00

=====

Record 7
Here is LiSnB after structural relaxation from Alexandria. Energies are from PBE.

Computed properties:
**Electronic total energy**: -24.18 eV per cell
**Spin magnetization**: 0.00 μB/cell
**Relative energy among the computed polymorphs**: 258 meV/atom

Unit cell a=5.901 b=3.577 c=5.421 alpha=109.25 beta=106.33 gamma=72.68
Element x y z (fractional)
Li 0.221 0.197 0.475
Li 0.899 0.620 0.993
Sn 0.344 0.884 0.971
Sn 0.778 0.940 0.511
B 0.515 0.614 0.600
B 0.427 0.496 0.275

=====

Record 8
Here is Ca4Si2Ag after structural relaxation from Alexandria. Energies are from PBE.

Computed properties:
**Electronic total energy**: -47.37 eV per cell
**Spin magnetization**: 0.00 μB/cell
**Formation energy from raw total energies**: -0.283 eV/atom

Unit cell a=5.239 b=5.239 c=15.725 alpha=90.00 beta=90.00 gamma=119.17
Element x y z (fractional)
Ca 0.213 0.787 0.624
Ca 0.500 0.500 0.500
Ca 0.787 0.213 0.376
Ca 0.787 0.213 0.124
Ca 0.886 0.114 0.750
Ca 0.500 0.500 0.000
Ca 0.114 0.886 0.250
Ca 0.213 0.787 0.876
Si 0.900 0.100 0.943
Si 0.100 0.900 0.057
Si 0.900 0.100 0.557
Si 0.100 0.900 0.443
Ag 0.550 0.450 0.750
Ag 0.450 0.550 0.250

=====

Record 9
Here is YBe2Pt after structural relaxation from Alexandria. Energies are from PBE.

Computed properties:
**Electronic total energy**: -21.26 eV per cell
**Spin magnetization**: 0.00 μB/cell
**Relative energy among the computed polymorphs**: 344 meV/atom

Unit cell a=3.080 b=3.080 c=6.400 alpha=90.00 beta=90.00 gamma=90.02
Element x y z (fractional)
Y 0.500 0.500 0.750
Be 0.000 0.000 0.426
Be 0.000 0.000 0.074
Pt 0.500 0.500 0.250

=====

Record 10
Here is Li2Sm3Zn7 after structural relaxation from Alexandria. Energies are from PBE.

Computed properties:
**Electronic total energy**: -30.19 eV per cell
**Spin magnetization**: 0.00 μB/cell

Unit cell a=5.477 b=5.477 c=9.352 alpha=72.97 beta=72.97 gamma=60.00
Element x y z (fractional)
Zn 0.582 0.582 0.757
Zn 0.418 0.418 0.243
Zn 0.582 0.080 0.757
Zn 0.920 0.418 0.243
Zn 0.418 0.920 0.243
Zn 0.080 0.582 0.757
Zn 0.500 0.500 0.500
Li 0.667 0.667 0.999
Li 0.333 0.333 0.001
Sm 0.000 0.000 0.000
Sm 0.863 0.863 0.411
Sm 0.137 0.137 0.589

=====

Record 11
Here is Cs2In2HgF6 after structural relaxation from Alexandria. Energies are from PBE.

Computed properties:
**Electronic total energy**: -42.87 eV per cell
**Spin magnetization**: 0.00 μB/cell
**Formation energy from raw total energies**: -2.196 eV/atom

Unit cell a=7.577 b=9.325 c=7.912 alpha=120.55 beta=92.45 gamma=59.72
Element x y z (fractional)
Cs 0.222 0.542 0.193
Cs 0.778 0.458 0.807
In 0.957 0.188 0.112
In 0.043 0.812 0.888
F 0.987 0.290 0.401
F 0.013 0.710 0.599
F 0.118 0.249 0.984
F 0.662 0.417 0.151
F 0.338 0.583 0.849
F 0.882 0.751 0.016
Hg 0.500 0.000 0.500

=====

Record 12
Here is Cu3Sb2 after structural relaxation from Alexandria. Energies are from PBE.

Computed properties:
**Electronic total energy**: -39.23 eV per cell
**Spin magnetization**: 0.00 μB/cell
**Formation energy from raw total energies**: 0.183 eV/atom

Unit cell a=12.256 b=10.712 c=6.286 alpha=88.28 beta=60.88 gamma=30.84
Element x y z (fractional)
Cu 0.602 0.283 0.693
Cu 0.421 0.693 0.283
Cu 0.557 0.829 0.648
Cu 0.006 0.994 0.994
Cu 0.967 0.648 0.829
Cu 0.256 0.244 0.244
Sb 0.712 0.435 0.594
Sb 0.259 0.594 0.435
Sb 0.815 0.538 0.991
Sb 0.656 0.991 0.538

=====

Record 13
Here is NaPm2Sm after structural relaxation from Alexandria. Energies are from PBE.

Computed properties:
**Electronic total energy**: -15.12 eV per cell
**Spin magnetization**: 0.00 μB/cell
**Relative energy among the computed polymorphs**: 0 meV/atom

Unit cell a=3.568 b=3.568 c=10.913 alpha=90.00 beta=90.00 gamma=90.00
Element x y z (fractional)
Pm 0.000 0.000 0.234
Pm 0.000 0.000 0.766
Na 0.500 0.500 0.500
Sm 0.500 0.500 0.000

=====

Record 14
Here is HoGaC after structural relaxation from Alexandria. Energies are from PBE.

Computed properties:
**Electronic total energy**: -71.36 eV per cell
**Spin magnetization**: 0.00 μB/cell
**Relative energy among the computed polymorphs**: 0 meV/atom

Unit cell a=3.433 b=5.036 c=11.101 alpha=90.00 beta=90.00 gamma=90.00
Element x y z (fractional)
C 0.500 0.750 0.676
C 0.000 0.750 0.176
C 0.000 0.250 0.824
C 0.500 0.250 0.324
Ho 0.500 0.250 0.671
Ho 0.000 0.750 0.829
Ho 0.500 0.750 0.329
Ho 0.000 0.250 0.171
Ga 0.000 0.750 0.566
Ga 0.500 0.750 0.066
Ga 0.500 0.250 0.934
Ga 0.000 0.250 0.434

=====

Record 15
Here is Tl2InAgSn after structural relaxation from Alexandria. Energies are from PBE.

Computed properties:
**Electronic total energy**: -12.80 eV per cell
**Spin magnetization**: 0.00 μB/cell

Unit cell a=5.478 b=5.358 c=5.478 alpha=90.00 beta=90.00 gamma=90.00
Element x y z (fractional)
In 0.000 0.500 0.000
Tl 0.000 0.000 0.500
Tl 0.500 0.000 0.000
Ag 0.000 0.000 0.000
Sn 0.500 0.500 0.500

=====

Record 16
Here is LiMoRh4 after structural relaxation from Alexandria. Energies are from PBE.

Computed properties:
**Electronic total energy**: -41.33 eV per cell
**Spin magnetization**: 0.00 μB/cell
**Relative energy among the computed polymorphs**: 101 meV/atom

Unit cell a=5.064 b=5.064 c=5.064 alpha=60.00 beta=60.00 gamma=60.00
Element x y z (fractional)
Rh 0.625 0.625 0.625
Rh 0.625 0.126 0.625
Rh 0.625 0.625 0.126
Rh 0.126 0.625 0.625
Mo 0.000 0.000 0.000
Li 0.250 0.250 0.250

=====

Record 17
Here is SmHoCoNi after structural relaxation from Alexandria. Energies are from PBE.

Computed properties:
**Electronic total energy**: -23.28 eV per cell
**Spin magnetization**: 0.00 μB/cell

Unit cell a=3.878 b=3.962 c=5.626 alpha=90.00 beta=110.16 gamma=90.00
Element x y z (fractional)
Co 0.429 0.000 0.858
Ho 0.862 0.500 0.723
Sm 0.145 0.000 0.290
Ni 0.564 0.500 0.129

=====

Record 18
Here is Nd5Zn2Pb5 after structural relaxation from Alexandria. Energies are from PBE.

Computed properties:
**Electronic total energy**: -50.63 eV per cell
**Spin magnetization**: 0.00 μB/cell

Unit cell a=4.682 b=8.669 c=9.230 alpha=79.10 beta=75.31 gamma=74.33
Element x y z (fractional)
Nd 0.306 0.062 0.326
Nd 0.694 0.938 0.674
Nd 0.500 0.500 0.500
Nd 0.605 0.703 0.086
Nd 0.395 0.297 0.914
Zn 0.864 0.544 0.729
Zn 0.136 0.456 0.271
Pb 0.067 0.229 0.638
Pb 0.245 0.687 0.823
Pb 0.755 0.313 0.177
Pb 0.000 0.000 0.000
Pb 0.933 0.771 0.362

=====

Record 19
Here is Mn2Rh2Au after structural relaxation from Alexandria. Energies are from PBE.

Computed properties:
**Electronic total energy**: -70.82 eV per cell
**Spin magnetization**: 0.00 μB/cell
**Relative energy among the computed polymorphs**: 0 meV/atom

Unit cell a=7.173 b=7.173 c=2.705 alpha=90.00 beta=90.00 gamma=90.00
Element x y z (fractional)
Mn 0.113 0.387 0.000
Mn 0.613 0.113 0.000
Mn 0.887 0.613 0.000
Mn 0.387 0.887 0.000
Rh 0.327 0.173 0.500
Rh 0.673 0.827 0.500
Rh 0.827 0.327 0.500
Rh 0.173 0.673 0.500
Au 0.000 0.000 0.000
Au 0.500 0.500 0.000

=====

Record 20
Here is TbZn3Ni after structural relaxation from Alexandria. Energies are from PBE.

Computed properties:
**Electronic total energy**: -15.05 eV per cell
**Spin magnetization**: 0.00 μB/cell
**Relative energy among the computed polymorphs**: 183 meV/atom

Unit cell a=4.544 b=4.544 c=4.544 alpha=90.00 beta=90.00 gamma=90.00
Element x y z (fractional)
Zn 0.500 0.000 0.000
Zn 0.000 0.500 0.000
Zn 0.000 0.000 0.500
Ni 0.000 0.000 0.000
Tb 0.500 0.500 0.500

=====

Record 21
Here is Ca2PbW after structural relaxation from Alexandria. Energies are from PBE.

Computed properties:
**Electronic total energy**: -18.58 eV per cell
**Spin magnetization**: 0.00 μB/cell

Unit cell a=6.167 b=6.167 c=5.765 alpha=75.09 beta=75.09 gamma=29.61
Element x y z (fractional)
W 0.219 0.219 0.218
Pb 0.535 0.535 0.526
Ca 0.776 0.776 0.691
Ca 0.970 0.970 0.065

=====

Record 22
Here is MoPbCl2 after structural relaxation from Alexandria. Energies are from PBE.

Computed properties:
**Electronic total energy**: -18.55 eV per cell
**Spin magnetization**: 0.00 μB/cell
**Relative energy among the computed polymorphs**: 135 meV/atom
**Formation energy from raw total energies**: -0.080 eV/atom

Unit cell a=9.078 b=9.078 c=9.078 alpha=21.92 beta=21.92 gamma=21.92
Element x y z (fractional)
Cl 0.012 0.012 0.012
Cl 0.225 0.225 0.225
Pb 0.757 0.757 0.757
Mo 0.506 0.506 0.506

=====

Record 23
Here is PrSmC after structural relaxation from Alexandria. Energies are from PBE.

Computed properties:
**Electronic total energy**: -19.06 eV per cell
**Spin magnetization**: 0.00 μB/cell
**Relative energy among the computed polymorphs**: 4 meV/atom

Unit cell a=6.652 b=3.671 c=3.671 alpha=120.00 beta=90.00 gamma=90.00
Element x y z (fractional)
Pr 0.549 0.667 0.333
C 0.327 0.333 0.667
Sm 0.125 0.000 0.000

=====

Record 24
Here is ZrPN2 after structural relaxation from Alexandria. Energies are from PBE.

Computed properties:
**Electronic total energy**: -61.75 eV per cell
**Spin magnetization**: 0.00 μB/cell
**Formation energy from raw total energies**: -0.066 eV/atom

Unit cell a=4.789 b=4.789 c=5.296 alpha=63.12 beta=63.12 gamma=90.00
Element x y z (fractional)
N 0.375 0.475 0.750
N 0.225 0.625 0.250
N 0.875 0.775 0.750
N 0.525 0.125 0.250
P 0.500 0.500 0.000
P 0.250 0.750 0.500
Zr 0.750 0.250 0.500
Zr 0.000 0.000 0.000